Below is crystalline Pm2MnAsO8 at its relaxed geometry, with properties calculated at the PBE+U level.

Summary:
- SG = No. 164
- size of the total moment (Bohr magnetons per cell) = 8.0
- E (eV per formula unit) = -79.88
- V (Å³ per cell) = 152.4

a = 5.422 Å, b = 5.422 Å, c = 5.987 Å
α = 90.00°, β = 90.00°, γ = 120.00°
Atoms (fractional coordinates):
Pm (0.333, 0.667, 0.366)
Pm (0.667, 0.333, 0.634)
Mn (0.000, 0.000, 0.000)
As (0.000, 0.000, 0.500)
O (0.160, 0.319, 0.679)
O (0.160, 0.840, 0.679)
O (0.319, 0.160, 0.321)
O (0.333, 0.667, 0.993)
O (0.667, 0.333, 0.007)
O (0.681, 0.840, 0.679)
O (0.840, 0.160, 0.321)
O (0.840, 0.681, 0.321)